Record 1
An optimized crystal structure of Tm2PbS4, computed with PBE.

Output
Symmetry: Cmc2_1, No. 36
Electronic total energy: -325.18 eV/cell
Formation energy (no corrections): -1641 meV/atom
Energy above the most stable polymorph in this dataset: 0 meV/atom
Calculated volume: 24.30 Å³ per atom

abc: 14.774 14.774 12.142
angles: 90.00 90.00 149.11
Sites, in units of the cell vectors:
Tm  0.068  0.932  0.500
Tm  0.070  0.431  0.121
Tm  0.171  0.328  0.643
Tm  0.175  0.825  0.975
Tm  0.325  0.675  0.473
Tm  0.328  0.171  0.143
Tm  0.431  0.070  0.621
Tm  0.432  0.568  0.992
Tm  0.568  0.432  0.492
Tm  0.569  0.930  0.121
Tm  0.672  0.829  0.643
Tm  0.675  0.325  0.973
Tm  0.825  0.175  0.475
Tm  0.829  0.672  0.143
Tm  0.930  0.569  0.621
Tm  0.932  0.068  0.000
Pb  0.041  0.459  0.814
Pb  0.046  0.954  0.847
Pb  0.459  0.041  0.314
Pb  0.463  0.537  0.290
Pb  0.537  0.463  0.790
Pb  0.541  0.959  0.814
Pb  0.954  0.046  0.347
Pb  0.959  0.541  0.314
S  0.016  0.487  0.520
S  0.020  0.980  0.077
S  0.138  0.361  0.433
S  0.142  0.858  0.183
S  0.161  0.839  0.472
S  0.165  0.339  0.143
S  0.206  0.290  0.852
S  0.209  0.791  0.762
S  0.290  0.206  0.352
S  0.291  0.709  0.261
S  0.338  0.662  0.970
S  0.339  0.165  0.643
S  0.359  0.641  0.681
S  0.361  0.138  0.933
S  0.483  0.517  0.593
S  0.487  0.016  0.020
S  0.513  0.984  0.520
S  0.517  0.483  0.093
S  0.639  0.862  0.433
S  0.641  0.359  0.181
S  0.661  0.835  0.143
S  0.662  0.338  0.470
S  0.709  0.291  0.761
S  0.710  0.794  0.852
S  0.791  0.209  0.262
S  0.794  0.710  0.352
S  0.835  0.661  0.643
S  0.839  0.161  0.972
S  0.858  0.142  0.683
S  0.862  0.639  0.933
S  0.980  0.020  0.577
S  0.984  0.513  0.020

Record 2
An optimized crystal structure of Tm2PbS4, computed with PBE.

Output
Symmetry: Pnma, No. 62
Electronic total energy: -162.51 eV/cell
Formation energy (no corrections): -1638 meV/atom
Energy above the most stable polymorph in this dataset: 3 meV/atom
Calculated volume: 24.13 Å³ per atom

abc: 11.995 3.939 14.300
angles: 90.00 90.00 90.00
Sites, in units of the cell vectors:
Tm  0.060  0.250  0.110
Tm  0.084  0.250  0.600
Tm  0.416  0.750  0.100
Tm  0.440  0.750  0.610
Tm  0.560  0.250  0.390
Tm  0.584  0.250  0.900
Tm  0.916  0.750  0.400
Tm  0.940  0.750  0.890
Pb  0.227  0.250  0.336
Pb  0.273  0.750  0.836
Pb  0.727  0.250  0.164
Pb  0.773  0.750  0.664
S  0.020  0.750  0.713
S  0.088  0.250  0.924
S  0.126  0.750  0.473
S  0.205  0.750  0.168
S  0.295  0.250  0.668
S  0.374  0.250  0.973
S  0.412  0.750  0.424
S  0.480  0.250  0.213
S  0.520  0.750  0.787
S  0.588  0.250  0.576
S  0.626  0.750  0.027
S  0.705  0.750  0.332
S  0.795  0.250  0.832
S  0.874  0.250  0.527
S  0.912  0.750  0.076
S  0.980  0.250  0.287

Record 3
An optimized crystal structure of Tm4PbS2, computed with PBE.

Output
Symmetry: R-3m, No. 166
Electronic total energy: -38.38 eV/cell
Formation energy (no corrections): -1218 meV/atom
Energy above the most stable polymorph in this dataset: 56 meV/atom
Calculated volume: 24.38 Å³ per atom

abc: 14.193 14.193 14.193
angles: 15.18 15.18 15.18
Sites, in units of the cell vectors:
Tm  0.133  0.133  0.133
Tm  0.276  0.276  0.276
Tm  0.724  0.724  0.724
Tm  0.867  0.867  0.867
Pb  0.000  0.000  0.000
S  0.427  0.427  0.427
S  0.573  0.573  0.573

Record 4
An optimized crystal structure of TmPb2S4, computed with PBE.

Output
Symmetry: Cmcm, No. 63
Electronic total energy: -69.28 eV/cell
Formation energy (no corrections): -891 meV/atom
Calculated volume: 25.19 Å³ per atom

abc: 7.109 7.109 13.388
angles: 90.00 90.00 148.58
Sites, in units of the cell vectors:
Tm  0.119  0.881  0.750
Tm  0.881  0.119  0.250
Pb  0.369  0.631  0.571
Pb  0.369  0.631  0.929
Pb  0.631  0.369  0.071
Pb  0.631  0.369  0.429
S  0.000  0.000  0.000
S  0.000  0.000  0.500
S  0.291  0.709  0.131
S  0.291  0.709  0.369
S  0.480  0.520  0.750
S  0.520  0.480  0.250
S  0.709  0.291  0.631
S  0.709  0.291  0.869

Record 5
An optimized crystal structure of Tm3Pb2S6, computed with PBE.

Output
Symmetry: C2/m, No. 12
Electronic total energy: -61.93 eV/cell
Formation energy (no corrections): -1485 meV/atom
Calculated volume: 26.64 Å³ per atom

abc: 6.803 6.803 7.484
angles: 96.74 96.74 119.55
Sites, in units of the cell vectors:
Tm  0.000  0.000  0.000
Tm  0.334  0.666  0.000
Tm  0.666  0.334  0.000
Pb  0.144  0.856  0.500
Pb  0.856  0.144  0.500
S  0.052  0.388  0.204
S  0.280  0.280  0.797
S  0.388  0.052  0.204
S  0.612  0.948  0.796
S  0.720  0.720  0.203
S  0.948  0.612  0.796

Record 6
An optimized crystal structure of Tm5PbS4, computed with PBE.

Output
Symmetry: C2/m, No. 12
Electronic total energy: -58.39 eV/cell
Formation energy (no corrections): -1581 meV/atom
Calculated volume: 22.04 Å³ per atom

abc: 6.856 6.856 9.967
angles: 118.26 118.26 32.74
Sites, in units of the cell vectors:
Tm  0.000  0.000  0.000
Tm  0.206  0.206  0.821
Tm  0.393  0.393  0.625
Tm  0.607  0.607  0.375
Tm  0.794  0.794  0.179
Pb  0.000  0.000  0.500
S  0.203  0.203  0.286
S  0.405  0.405  0.099
S  0.595  0.595  0.901
S  0.797  0.797  0.714